Density functional theory data (GGA-PBE) for a relaxed structure of Ac2InAuSe5.

Cell and atoms, written as POSCAR:
```
Ac2InAuSe5
1.0
-0.687 0.737 -4.275
1.249 -9.524 0.414
-12.226 -1.529 1.701
Ac In Au Se
4 2 2 10
direct
0.876 0.753 0.796
0.117 0.233 0.677
0.124 0.247 0.296
0.883 0.767 0.177
0.588 0.176 0.966
0.412 0.824 0.466
0.747 0.493 0.589
0.253 0.507 0.089
0.370 0.741 0.986
0.694 0.388 0.825
0.505 0.009 0.781
0.310 0.621 0.641
0.961 0.923 0.562
0.630 0.259 0.486
0.306 0.612 0.325
0.495 0.991 0.281
0.690 0.379 0.141
0.039 0.077 0.062
```

Results
- size of the total moment (μB/f.u.) = 0.000
- uncorrected energy (eV for the cell shown) = -86.1

***

Density functional theory data (GGA-PBE) for a relaxed structure of AcInSi2Au6.

Cell and atoms, written as POSCAR:
```
AcInSi2Au6
1.0
6.715 0.000 0.000
3.358 5.816 0.000
3.358 1.939 7.450
Ac In Si Au
1 1 2 6
direct
0.000 0.000 0.000
0.500 0.500 0.500
0.711 0.711 0.867
0.289 0.289 0.133
0.123 0.483 0.809
0.585 0.123 0.809
0.517 0.415 0.191
0.877 0.517 0.191
0.415 0.877 0.191
0.483 0.585 0.809
```

Results
- size of the total moment (μB/f.u.) = 0.000
- uncorrected energy (eV for the cell shown) = -38.6

***

Density functional theory data (GGA-PBE) for a relaxed structure of Ac2InSiAu6.

Cell and atoms, written as POSCAR:
```
Ac2InSiAu6
1.0
7.189 -0.302 -1.168
-0.206 6.884 0.879
2.663 3.913 5.044
Ac In Si Au
2 1 1 6
direct
0.714 0.231 0.547
0.286 0.769 0.453
0.500 0.500 0.000
0.000 0.000 0.000
0.224 0.263 0.512
0.898 0.732 0.880
0.261 0.788 0.987
0.739 0.212 0.013
0.102 0.268 0.120
0.776 0.737 0.488
```

Results
- size of the total moment (μB/f.u.) = 0.000
- uncorrected energy (eV for the cell shown) = -41.1